First-principles (PBE-GGA) data for a relaxed RbTa5Se8 crystal, as listed in the Alexandria database.

Results
For the formation energy without anion corrections, the calculation gives -801 meV per atom. The space group is No. 12.

Lattice parameters (Å, degrees): 10.3149 10.3149 10.1100 110.23 110.23 19.21
With the nearest neighbours (Å) after each atom.
Fractional coordinates of all 14 atoms:
Rb (0.0000, 0.0000, 0.0000)  2 Rb 3.44, 10 Se 3.58-3.70
Ta (0.1264, 0.1264, 0.5400)  5 Se 2.49-2.66
Ta (0.2066, 0.2066, 0.8802)  6 Se 2.57-2.81
Ta (0.5000, 0.5000, 0.5000)  6 Se 2.70-2.78, 4 Ta 3.00
Ta (0.7934, 0.7934, 0.1198)  6 Se 2.57-2.81
Ta (0.8736, 0.8736, 0.4600)  5 Se 2.49-2.66
Se (0.0635, 0.0635, 0.7118)  3 Ta 2.49-2.70
Se (0.2753, 0.2753, 0.3147)  4 Ta 2.66-2.74
Se (0.3416, 0.3416, 0.9820)  3 Ta 2.57-2.61
Se (0.4129, 0.4129, 0.6595)  3 Ta 2.56-2.78
Se (0.5871, 0.5871, 0.3405)  3 Ta 2.56-2.78
Se (0.6584, 0.6584, 0.0180)  3 Ta 2.57-2.61
Se (0.7247, 0.7247, 0.6853)  4 Ta 2.66-2.74
Se (0.9365, 0.9365, 0.2882)  3 Ta 2.49-2.70